LiPd14Pt: relaxed, GGA-PBE.

POSCAR file:
```
LiPd14Pt
1.0
-0.674 -2.529 -4.874
-0.342 -4.881 2.580
-7.884 0.886 0.630
Li Pd Pt
1 14 1
Direct
0.875 0.875 0.500
0.875 0.875 0.000
0.375 0.375 0.000
0.875 0.375 0.500
0.875 0.375 0.000
0.375 0.875 0.500
0.375 0.875 0.000
0.626 0.124 0.253
0.626 0.124 0.747
0.124 0.626 0.253
0.124 0.626 0.747
0.626 0.626 0.253
0.626 0.626 0.747
0.124 0.124 0.253
0.124 0.124 0.747
0.375 0.375 0.500
```

Values from the calculation:
* total moment: 0.013 Bohr magnetons per cell
* formation enthalpy at 0 K: -0.067 eV per atom